Crystalline Y2CrSbO7 at its relaxed geometry. Source: the Alexandria database, functional PBE with a Hubbard U.

```
data_Y2CrSbO7
_symmetry_space_group_name_H-M 'I m m a'
_symmetry_Int_Tables_number 74
_symmetry_space_group_name_Hall '-I 2b 2'
_cell_length_a 7.266
_cell_length_b 7.345
_cell_length_c 10.280
_cell_angle_alpha 90.00
_cell_angle_beta 90.00
_cell_angle_gamma 90.00
loop_
_atom_site_label
_atom_site_type_symbol
_atom_site_fract_x
_atom_site_fract_y
_atom_site_fract_z
_atom_site_occupancy
Y1 Y 0.000 0.000 0.000 1
Y2 Y 0.250 0.250 0.250 1
Cr1 Cr 0.250 0.250 0.750 1
Sb1 Sb 0.000 0.000 0.500 1
O1 O 0.000 0.250 0.128 1
O2 O 0.000 0.250 0.419 1
O3 O 0.000 0.250 0.840 1
O4 O 0.205 0.037 0.626 1
```

Values from the calculation:
Magnetic moment (μB/cell): 12.00
E_tot (eV per atom): -7.982